(1)
# PrNpFe4, relaxed, DFT PBE
data_PrNpFe4
_chemical_formula_sum 'Pr1 Np1 Fe4'
_cell_length_a 5.1572
_cell_length_b 5.1572
_cell_length_c 5.1572
_cell_angle_alpha 60.00
_cell_angle_beta 60.00
_cell_angle_gamma 60.00
_symmetry_space_group_name_H-M 'P 1'
_symmetry_Int_Tables_number 1
_symmetry_space_group_name_Hall 'P 1'
loop_
_atom_site_label
_atom_site_fract_x
_atom_site_fract_y
_atom_site_fract_z
_atom_site_occupancy
Pr1 0.0000 0.0000 0.0000 1
Fe1 0.6241 0.6241 0.1276 1
Fe2 0.6241 0.6241 0.6241 1
Fe3 0.1276 0.6241 0.6241 1
Fe4 0.6241 0.1276 0.6241 1
Np1 0.2500 0.2500 0.2500 1
# E_form in eV/atom: 0.12

***

(2)
# CuPbBr3, relaxed, DFT PBE
data_CuPbBr3
_chemical_formula_sum 'Cu2 Pb2 Br6'
_cell_length_a 7.9493
_cell_length_b 7.9493
_cell_length_c 7.9493
_cell_angle_alpha 119.41
_cell_angle_beta 119.41
_cell_angle_gamma 91.03
_symmetry_space_group_name_H-M 'P 1'
_symmetry_Int_Tables_number 1
_symmetry_space_group_name_Hall 'P 1'
loop_
_atom_site_label
_atom_site_fract_x
_atom_site_fract_y
_atom_site_fract_z
_atom_site_occupancy
Br1 0.2500 0.2500 0.0000 1
Br2 0.3514 0.1486 0.5000 1
Br3 0.7500 0.7500 0.0000 1
Br4 0.6486 0.8514 0.5000 1
Br5 0.8514 0.3514 0.2029 1
Br6 0.1486 0.6486 0.7971 1
Pb1 0.0000 0.0000 0.0000 1
Pb2 0.5000 0.5000 0.0000 1
Cu1 0.2500 0.7500 0.5000 1
Cu2 0.7500 0.2500 0.5000 1
# ΔE to the lowest computed polymorph in eV/atom: 0.450
# Formation energy from raw total energies in eV/f.u.: -0.90

***

(3)
# Cs2AgI2Cl2, relaxed, DFT PBE
data_Cs2AgI2Cl2
_chemical_formula_sum 'Cs2 Ag1 I2 Cl2'
_cell_length_a 5.5492
_cell_length_b 5.5492
_cell_length_c 9.9505
_cell_angle_alpha 106.19
_cell_angle_beta 106.19
_cell_angle_gamma 90.00
_symmetry_space_group_name_H-M 'P 1'
_symmetry_Int_Tables_number 1
_symmetry_space_group_name_Hall 'P 1'
loop_
_atom_site_label
_atom_site_fract_x
_atom_site_fract_y
_atom_site_fract_z
_atom_site_occupancy
Ag1 0.0000 0.0000 0.0000 1
I1 0.8463 0.8463 0.6925 1
I2 0.1537 0.1537 0.3075 1
Cs1 0.6229 0.6229 0.2457 1
Cs2 0.3771 0.3771 0.7543 1
Cl1 0.5000 0.0000 0.0000 1
Cl2 0.0000 0.5000 0.0000 1
# Formation energy from raw total energies in eV/f.u.: -7.90

***

(4)
# TaP2SeS, relaxed, DFT PBE
data_TaP2SeS
_chemical_formula_sum 'Ta1 P2 Se1 S1'
_cell_length_a 4.9364
_cell_length_b 4.9364
_cell_length_c 4.5882
_cell_angle_alpha 90.00
_cell_angle_beta 90.00
_cell_angle_gamma 90.00
_symmetry_space_group_name_H-M 'P 1'
_symmetry_Int_Tables_number 1
_symmetry_space_group_name_Hall 'P 1'
loop_
_atom_site_label
_atom_site_fract_x
_atom_site_fract_y
_atom_site_fract_z
_atom_site_occupancy
P1 0.5000 0.0000 0.0000 1
P2 0.0000 0.5000 0.0000 1
Ta1 0.0000 0.0000 0.0000 1
Se1 0.5000 0.5000 0.5000 1
S1 0.0000 0.0000 0.5000 1
# ΔE to the lowest computed polymorph in eV/atom: 0.000
# Formation energy from raw total energies in eV/f.u.: 2.01

***

(5)
# V3TeS, relaxed, DFT PBE
data_V3TeS
_chemical_formula_sum 'V3 Te1 S1'
_cell_length_a 4.3468
_cell_length_b 4.3468
_cell_length_c 4.3468
_cell_angle_alpha 90.00
_cell_angle_beta 90.00
_cell_angle_gamma 90.00
_symmetry_space_group_name_H-M 'P 1'
_symmetry_Int_Tables_number 1
_symmetry_space_group_name_Hall 'P 1'
loop_
_atom_site_label
_atom_site_fract_x
_atom_site_fract_y
_atom_site_fract_z
_atom_site_occupancy
V1 0.0000 0.5000 0.0000 1
V2 0.0000 0.0000 0.5000 1
V3 0.5000 0.0000 0.0000 1
Te1 0.5000 0.5000 0.5000 1
S1 0.0000 0.0000 0.0000 1
# ΔE to the lowest computed polymorph in eV/atom: 0.000
# Formation energy from raw total energies in eV/f.u.: 0.35

***

(6)
# PrHo2Tm, relaxed, DFT PBE
data_PrHo2Tm
_chemical_formula_sum 'Pr1 Ho2 Tm1'
_cell_length_a 3.5809
_cell_length_b 3.5809
_cell_length_c 11.7233
_cell_angle_alpha 81.22
_cell_angle_beta 81.22
_cell_angle_gamma 60.00
_symmetry_space_group_name_H-M 'P 1'
_symmetry_Int_Tables_number 1
_symmetry_space_group_name_Hall 'P 1'
loop_
_atom_site_label
_atom_site_fract_x
_atom_site_fract_y
_atom_site_fract_z
_atom_site_occupancy
Ho1 0.2523 0.2523 0.2431 1
Ho2 0.0808 0.0808 0.7575 1
Tm1 0.6663 0.6663 0.0010 1
Pr1 0.5005 0.5005 0.4984 1
# ΔE to the lowest computed polymorph in eV/atom: 0.008
# E_form in eV/atom: 0.02